Record 1
Computed, not measured: a relaxed Ba8NiPt3I4 crystal at the PBE level of DFT.

Output
Symmetry: R-3m, No. 166
Calculated volume, Å³ per atom: 40.24
M_tot, μB/f.u.: 0.0
Uncorrected formation energy, meV/atom: -1015

Lattice parameters (Å, degrees): 9.2377 10.2167 9.2379 116.90 120.00 90.00
With the nearest neighbours (Å) after each atom.
Element x y z (fractional)
Ba1 0.2667 0.3002 0.5334  3 Pt 3.18
Ba2 0.2651 0.3000 0.0325  1 Ni 3.18, 2 Pt 3.19
Ba3 0.7672 0.2999 0.5345  1 Ni 3.18, 2 Pt 3.19
Ba4 0.7674 0.3000 0.0325  1 Ni 3.18, 2 Pt 3.19
Ba5 0.2328 0.7001 0.4655  1 Ni 3.18, 2 Pt 3.19
Ba6 0.7333 0.6998 0.4666  3 Pt 3.18
Ba7 0.2326 0.7000 0.9675  1 Ni 3.18, 2 Pt 3.19
Ba8 0.7349 0.7000 0.9675  1 Ni 3.18, 2 Pt 3.19
I1 0.5000 0.0000 0.0000  6 Ba 3.74
I2 0.5000 0.0000 0.5000  6 Ba 3.73-3.74
I3 0.0000 0.0000 0.5000  6 Ba 3.73-3.74
I4 0.0000 0.0000 0.0000  6 Ba 3.73
Pt1 0.5000 0.5000 0.5000  6 Ba 3.18-3.19
Pt2 0.0000 0.5000 0.5000  6 Ba 3.18-3.19
Pt3 0.5000 0.5000 0.0000  6 Ba 3.18-3.19
Ni1 0.0000 0.5000 0.0000  6 Ba 3.18

Record 2
Computed, not measured: a relaxed Ba6NiRh2I3 crystal at the PBE level of DFT.

Output
Symmetry: C2/m, No. 12
Calculated volume, Å³ per atom: 39.59
M_tot, μB/f.u.: 0.0
Uncorrected formation energy, meV/atom: -738

Lattice parameters (Å, degrees): 7.9852 7.9852 9.0063 98.50 98.50 120.00
With the nearest neighbours (Å) after each atom.
Element x y z (fractional)
Ba1 0.9337 0.5934 0.8011  2 Rh 3.14, 1 Ni 3.21
Ba2 0.2740 0.2740 0.8015  2 Rh 3.14, 1 Ni 3.21
Ba3 0.7260 0.7260 0.1985  2 Rh 3.14, 1 Ni 3.21
Ba4 0.4066 0.0663 0.1989  2 Rh 3.14, 1 Ni 3.21
Ba5 0.0663 0.4066 0.1989  2 Rh 3.14, 1 Ni 3.21
Ba6 0.5934 0.9337 0.8011  2 Rh 3.14, 1 Ni 3.21
I1 0.8340 0.1660 0.5000  6 Ba 3.68-3.73
I2 0.1660 0.8340 0.5000  6 Ba 3.68-3.73
I3 0.5000 0.5000 0.5000  6 Ba 3.68-3.73
Ni1 0.0000 0.0000 0.0000  6 Ba 3.21
Rh1 0.3332 0.6667 0.0000  6 Ba 3.14
Rh2 0.6667 0.3332 0.0000  6 Ba 3.14

Record 3
Computed, not measured: a relaxed BaNiSI2 crystal at the PBE level of DFT.

Output
Symmetry: P4/mmm, No. 123
Calculated volume, Å³ per atom: 28.26
M_tot, μB/f.u.: 0.0
Uncorrected formation energy, meV/atom: -782

Lattice parameters (Å, degrees): 5.4724 4.7183 5.4724 90.00 90.00 90.00
With the nearest neighbours (Å) after each atom.
Element x y z (fractional)
Ni1 0.0000 0.0000 0.0000  2 S 2.36
Ba1 0.5000 0.5000 0.5000  8 I 3.61, 4 S 3.87
I1 0.5000 0.0000 0.0000  2 Ni 2.74
I2 0.0000 0.0000 0.5000  2 Ni 2.74
S1 0.0000 0.5000 0.0000  2 Ni 2.36

Record 4
Computed, not measured: a relaxed Ba2NiSbI crystal at the PBE level of DFT.

Output
Symmetry: P4/mmm, No. 123
Calculated volume, Å³ per atom: 53.66
M_tot, μB/f.u.: 0.6
Uncorrected formation energy, meV/atom: 171

Lattice parameters (Å, degrees): 6.6926 5.9896 6.6926 90.00 90.00 90.00
With the nearest neighbours (Å) after each atom.
Element x y z (fractional)
Ba1 0.0000 0.0000 0.5000  2 Sb 3.35
Ba2 0.5000 0.0000 0.0000  2 Sb 3.35
I1 0.0000 0.5000 0.0000  2 Sb 2.99
Sb1 0.0000 0.0000 0.0000  2 I 2.99, 4 Ba 3.35
Ni1 0.5000 0.5000 0.5000  8 Ba 4.49, 4 I 4.73

- Which of these has the lowest calculated volume?
  BaNiSI2